# 1
Here is an optimized crystal structure of HoSF from the Alexandria database. Energies are from PBEsol.

For the size of the total moment, the calculation gives 0.000 μB per cell.

Cell and atoms, written as CIF:
```
data_HoSF
_cell_length_a 3.706
_cell_length_b 3.706
_cell_length_c 6.735
_cell_angle_alpha 90.00
_cell_angle_beta 90.00
_cell_angle_gamma 90.00
_symmetry_space_group_name_H-M 'P 4/n m m'
_symmetry_Int_Tables_number 129
loop_
_symmetry_equiv_pos_as_xyz
'x,y,z'
'-x,-y,-z'
'-y+1/2,x,z'
'y+1/2,-x,-z'
'-x+1/2,-y+1/2,z'
'x+1/2,y+1/2,-z'
'y,-x+1/2,z'
'-y,x+1/2,-z'
'x+1/2,-y,-z'
'-x+1/2,y,z'
'-y,-x,-z'
'y,x,z'
'-x,y+1/2,-z'
'x,-y+1/2,z'
'y+1/2,x+1/2,-z'
'-y+1/2,-x+1/2,z'
loop_
_atom_site_label
_atom_site_fract_x
_atom_site_fract_y
_atom_site_fract_z
Ho1 0.250 0.250 0.227
S1 0.250 0.250 0.642
F1 0.250 0.750 0.000
```

---

# 2
Here is an optimized crystal structure of IF3 from the Alexandria database. Energies are from PBEsol.

For the size of the total moment, the calculation gives 0.000 μB per cell.

Cell and atoms, written as CIF:
```
data_IF3
_cell_length_a 8.843
_cell_length_b 6.582
_cell_length_c 4.519
_cell_angle_alpha 90.00
_cell_angle_beta 90.00
_cell_angle_gamma 90.00
_symmetry_space_group_name_H-M 'P n m a'
_symmetry_Int_Tables_number 62
_symmetry_space_group_name_Hall '-P 2ac 2n'
loop_
_atom_site_label
_atom_site_fract_x
_atom_site_fract_y
_atom_site_fract_z
I1 0.192 0.250 0.016
F1 0.067 0.250 0.358
F2 0.171 0.551 0.090
```

---

no.,uncorrected formation energy (eV/atom)
1,-3.086
2,-1.395